# 1
Compound: Dy2HoPaP4
Source: the Alexandria database
Functional: GGA-PBE
Structure: optimized geometry

Summary:
The calculation puts the total DFT energy (no corrections) at -57.30 eV per cell.

```
data_Dy2HoPaP4
_chemical_formula_sum 'Dy2 Ho1 Pa1 P4'
_symmetry_space_group_name_H-M 'P 1 2/m 1'
_symmetry_Int_Tables_number 10
_cell_length_a 6.8938
_cell_length_b 3.9928
_cell_length_c 6.8995
_cell_angle_alpha 90.00
_cell_angle_beta 109.48
_cell_angle_gamma 90.00
loop_
_symmetry_equiv_pos_as_xyz
'x,y,z'
'-x,-y,-z'
'-x,y,-z'
'x,-y,z'
loop_
_atom_site_label
_atom_site_fract_x
_atom_site_fract_y
_atom_site_fract_z
Dy1 0.0000 0.0000 0.0000
Dy2 0.5000 0.5000 0.0000
Ho1 0.0000 0.5000 0.5000
Pa1 0.5000 0.0000 0.5000
P1 0.2523 0.0000 0.7459
P2 0.2529 0.5000 0.2537
```

***

# 2
Compound: DyHo2PaP4
Source: the Alexandria database
Functional: GGA-PBE
Structure: optimized geometry

Summary:
The calculation puts the total DFT energy (no corrections) at -57.27 eV per cell.

```
data_DyHo2PaP4
_chemical_formula_sum 'Dy1 Ho2 Pa1 P4'
_symmetry_space_group_name_H-M 'P 1 2/m 1'
_symmetry_Int_Tables_number 10
_cell_length_a 6.8847
_cell_length_b 3.9880
_cell_length_c 6.8906
_cell_angle_alpha 90.00
_cell_angle_beta 109.49
_cell_angle_gamma 90.00
loop_
_symmetry_equiv_pos_as_xyz
'x,y,z'
'-x,-y,-z'
'-x,y,-z'
'x,-y,z'
loop_
_atom_site_label
_atom_site_fract_x
_atom_site_fract_y
_atom_site_fract_z
Dy1 0.0000 0.0000 0.0000
Ho1 0.5000 0.0000 0.5000
Ho2 0.5000 0.5000 0.0000
Pa1 0.0000 0.5000 0.5000
P1 0.2481 0.0000 0.7472
P2 0.2481 0.5000 0.2537
```

***

# 3
Compound: PmDy2HoP4
Source: the Alexandria database
Functional: GGA-PBE
Structure: optimized geometry

Summary:
The calculation puts the total DFT energy (no corrections) at -52.94 eV per cell.

```
data_PmDy2HoP4
_chemical_formula_sum 'Pm1 Dy2 Ho1 P4'
_symmetry_space_group_name_H-M 'P 1 2/m 1'
_symmetry_Int_Tables_number 10
_cell_length_a 6.9858
_cell_length_b 4.0360
_cell_length_c 6.9858
_cell_angle_alpha 90.00
_cell_angle_beta 109.47
_cell_angle_gamma 90.00
loop_
_symmetry_equiv_pos_as_xyz
'x,y,z'
'-x,-y,-z'
'-x,y,-z'
'x,-y,z'
loop_
_atom_site_label
_atom_site_fract_x
_atom_site_fract_y
_atom_site_fract_z
Pm1 0.0000 0.0000 0.0000
Dy1 0.0000 0.5000 0.5000
Dy2 0.5000 0.0000 0.5000
Ho1 0.5000 0.5000 0.0000
P1 0.2534 0.0000 0.7484
P2 0.2554 0.5000 0.2547
```

***

# 4
Compound: Pm2DyHoP4
Source: the Alexandria database
Functional: GGA-PBE
Structure: optimized geometry

Summary:
The calculation puts the total DFT energy (no corrections) at -53.00 eV per cell.

```
data_Pm2DyHoP4
_chemical_formula_sum 'Pm2 Dy1 Ho1 P4'
_symmetry_space_group_name_H-M 'P 1 2/m 1'
_symmetry_Int_Tables_number 10
_cell_length_a 7.0374
_cell_length_b 4.0670
_cell_length_c 7.0408
_cell_angle_alpha 90.00
_cell_angle_beta 109.47
_cell_angle_gamma 90.00
loop_
_symmetry_equiv_pos_as_xyz
'x,y,z'
'-x,-y,-z'
'-x,y,-z'
'x,-y,z'
loop_
_atom_site_label
_atom_site_fract_x
_atom_site_fract_y
_atom_site_fract_z
Pm1 0.0000 0.0000 0.0000
Pm2 0.0000 0.5000 0.5000
Dy1 0.5000 0.0000 0.5000
Ho1 0.5000 0.5000 0.0000
P1 0.2583 0.0000 0.7533
P2 0.2580 0.5000 0.2521
```

***

# 5
Compound: PmDy3Ho2P6
Source: the Alexandria database
Functional: GGA-PBE
Structure: optimized geometry

Summary:
The calculation puts the total DFT energy (no corrections) at -158.77 eV per cell.

```
data_PmDy3Ho2P6
_chemical_formula_sum 'Pm2 Dy6 Ho4 P12'
_symmetry_space_group_name_H-M 'C 1 2/m 1'
_symmetry_Int_Tables_number 12
_cell_length_a 6.9665
_cell_length_b 12.0645
_cell_length_c 6.9683
_cell_angle_alpha 90.00
_cell_angle_beta 109.46
_cell_angle_gamma 90.00
loop_
_symmetry_equiv_pos_as_xyz
'x,y,z'
'-x,-y,-z'
'-x,y,-z'
'x,-y,z'
'x+1/2,y+1/2,z'
'-x+1/2,-y+1/2,-z'
'-x+1/2,y+1/2,-z'
'x+1/2,-y+1/2,z'
loop_
_atom_site_label
_atom_site_fract_x
_atom_site_fract_y
_atom_site_fract_z
Pm1 0.0000 0.0000 0.0000
Dy1 0.0000 0.1657 0.5000
Dy2 0.0000 0.5000 0.5000
Ho1 0.0000 0.3331 0.0000
P1 0.2457 0.5000 0.2514
P2 0.2470 0.3310 0.7481
```

***

# 6
Compound: DyHo2P3Rh12
Source: the Alexandria database
Functional: GGA-PBE
Structure: optimized geometry

Summary:
The calculation puts the total DFT energy (no corrections) at -377.48 eV per cell.

```
data_DyHo2P3Rh12
_chemical_formula_sum 'Dy3 Ho6 P9 Rh36'
_symmetry_space_group_name_H-M 'R -3 m'
_symmetry_Int_Tables_number 166
_symmetry_space_group_name_Hall '-R 3 2"'
_cell_length_a 8.9380
_cell_length_b 8.9380
_cell_length_c 12.8055
_cell_angle_alpha 90.00
_cell_angle_beta 90.00
_cell_angle_gamma 120.00
loop_
_atom_site_label
_atom_site_fract_x
_atom_site_fract_y
_atom_site_fract_z
Dy1 0.0000 0.0000 0.0000
Ho1 0.0000 0.0000 0.3724
P1 0.0000 0.5000 0.5000
Rh1 0.0119 0.5059 0.3260
Rh2 0.0246 0.5123 0.8825
```

***

# 7
Compound: DyHoP2Rh5
Source: the Alexandria database
Functional: GGA-PBE
Structure: optimized geometry

Summary:
The calculation puts the total DFT energy (no corrections) at -63.35 eV per cell.

```
data_DyHoP2Rh5
_chemical_formula_sum 'Dy1 Ho1 P2 Rh5'
_symmetry_space_group_name_H-M 'P 4/m m m'
_symmetry_Int_Tables_number 123
_symmetry_space_group_name_Hall '-P 4 2'
_cell_length_a 4.0020
_cell_length_b 4.0020
_cell_length_c 10.8478
_cell_angle_alpha 90.00
_cell_angle_beta 90.00
_cell_angle_gamma 90.00
loop_
_atom_site_label
_atom_site_fract_x
_atom_site_fract_y
_atom_site_fract_z
Dy1 0.0000 0.0000 0.0000
Ho1 0.0000 0.0000 0.5000
P1 0.5000 0.5000 0.2917
Rh1 0.0000 0.5000 0.1956
Rh2 0.5000 0.5000 0.5000
```

***

# 8
Compound: Dy2HoP3Rh12
Source: the Alexandria database
Functional: GGA-PBE
Structure: optimized geometry

Summary:
The calculation puts the total DFT energy (no corrections) at -377.23 eV per cell.

```
data_Dy2HoP3Rh12
_chemical_formula_sum 'Dy6 Ho3 P9 Rh36'
_symmetry_space_group_name_H-M 'R -3 m'
_symmetry_Int_Tables_number 166
_symmetry_space_group_name_Hall '-R 3 2"'
_cell_length_a 8.9434
_cell_length_b 8.9434
_cell_length_c 12.8107
_cell_angle_alpha 90.00
_cell_angle_beta 90.00
_cell_angle_gamma 120.00
loop_
_atom_site_label
_atom_site_fract_x
_atom_site_fract_y
_atom_site_fract_z
Dy1 0.0000 0.0000 0.1278
Ho1 0.0000 0.0000 0.5000
P1 0.0000 0.5000 0.0000
Rh1 0.0110 0.5055 0.8261
Rh2 0.0252 0.5126 0.3823
```

***

Short version: energy of formation from the pure elements = -1.548; -1.547; -1.596; -1.584; -1.601; -0.424; -0.732; -0.417 eV per atom, in the order given.
Short version: magnetization = 0.000; 0.000; 0.000; 0.000; 0.000; 0.000; 0.000; 0.000 μB per cell, in the order given.